Compound: Er3FeSi3
Source: the Alexandria database
Functional: SCAN
Structure: single point on PBEsol structure

POSCAR file:
```
Er3FeSi3
1.0
5.1372 -2.0413 0.0000
5.1372 2.0413 0.0000
-4.7840 0.0000 12.3374
Er Fe Si
6 2 6
Cartesian
-1.5726 0.0000 4.6806
-3.3632 0.0000 11.3351
1.4678 0.0000 2.8369
4.0226 0.0000 9.5005
8.8536 0.0000 1.0023
7.0630 0.0000 7.6568
-0.1978 0.0000 7.2063
5.6882 0.0000 5.1311
1.4757 0.0000 5.6356
-0.4619 0.0000 11.4075
0.9347 0.0000 9.3409
4.5556 0.0000 2.9965
5.9523 0.0000 0.9299
4.0147 0.0000 6.7018
```

Summary:
ΔE_f (raw): -0.730 eV/atom
Total DFT energy (no corrections): -1.0726 Ha/atom